A geometry-optimized Dy3Y2Er8 structure, computed with PBE-GGA.

Properties
- spin magnetization (μB per formula unit) = 0.0
- density (g/cm³) = 8.0
- final energy (eV per atom) = -4.70
- distance to the lowest polymorph of the same formula (kJ/mol of formula units) = 0
- space group = No. 71

Cell: 5.552 6.757 11.901 Å, 106.49 103.45 90.00°
Fractional positions:
Dy1 0.500 0.000 0.000
Dy2 0.000 0.265 0.000
Dy3 0.000 0.735 0.000
Y1 0.723 0.723 0.446
Y2 0.277 0.277 0.554
Er1 0.425 0.425 0.851
Er2 0.575 0.575 0.149
Er3 0.317 0.817 0.634
Er4 0.683 0.183 0.366
Er5 0.152 0.890 0.303
Er6 0.152 0.413 0.303
Er7 0.848 0.587 0.697
Er8 0.848 0.110 0.697